(1)
## LaAlFe3 (GGA-PBEsol)

Data for a relaxed structure of LaAlFe3.

Cell lengths 4.5145, 4.5145, 4.5145 Å; angles 90.00, 90.00, 90.00 degrees
With the nearest neighbours (Å) after each atom.
Atoms (fractional coordinates):
La: 0.0000 0.0000 0.0000  6 Fe 2.26
Al: 0.5000 0.5000 0.5000  12 Fe 3.19
Fe: 0.0000 0.0000 0.5000  2 La 2.26
Fe: 0.0000 0.5000 0.0000  2 La 2.26
Fe: 0.5000 0.0000 0.0000  2 La 2.26

Results
Formation enthalpy at 0 K (eV/atom): 1.669
V (A^3/atom): 18.40
E (eV per atom): -5.60
Symmetry: Pm-3m (221)

***

(2)
## BaTa3Be (GGA-PBEsol)

Data for a relaxed structure of BaTa3Be.

Cell lengths 4.6340, 4.6340, 4.6340 Å; angles 90.00, 90.00, 90.00 degrees
With the nearest neighbours (Å) after each atom.
Atoms (fractional coordinates):
Ba: 0.0000 0.0000 0.0000  12 Ta 3.28
Ta: 0.0000 0.5000 0.5000  2 Be 2.32
Ta: 0.5000 0.0000 0.5000  2 Be 2.32
Ta: 0.5000 0.5000 0.0000  2 Be 2.32
Be: 0.5000 0.5000 0.5000  6 Ta 2.32

Results
Formation enthalpy at 0 K (eV/atom): 1.236
V (A^3/atom): 19.90
E (eV per atom): -7.52
Symmetry: Pm-3m (221)

***

(3)
## BaSi2Ni (GGA-PBEsol)

Data for a relaxed structure of BaSi2Ni.

Cell lengths 6.5037, 6.5037, 6.5037 Å; angles 35.14, 35.14, 35.14 degrees
With the nearest neighbours (Å) after each atom.
Atoms (fractional coordinates):
Ba: 0.0000 0.0000 0.0000  1 Ni 3.24, 7 Si 3.29-3.62
Si: 0.1977 0.1977 0.1977  3 Ni 2.39, 3 Si 2.58
Si: 0.4635 0.4635 0.4635  3 Ni 2.32, 3 Si 2.58
Ni: 0.8229 0.8229 0.8229  6 Si 2.32-2.39

Results
V (A^3/atom): 20.35
ΔE_f (raw) (eV/f.u.): -2.01
E (eV per atom): -5.45
Symmetry: R3m (160)

***

(4)
## BaNbHgAs2 (GGA-PBEsol)

Data for a relaxed structure of BaNbHgAs2.

Cell lengths 5.3138, 5.3138, 5.2208 Å; angles 90.00, 90.00, 90.00 degrees
With the nearest neighbours (Å) after each atom.
Atoms (fractional coordinates):
Ba: 0.0000 0.0000 0.0000  8 As 3.72, 4 Nb 3.76
Nb: 0.5000 0.5000 0.0000  2 Hg 2.61
Hg: 0.5000 0.5000 0.5000  2 Nb 2.61, 4 As 2.66
As: 0.0000 0.5000 0.5000  2 Hg 2.66
As: 0.5000 0.0000 0.5000  2 Hg 2.66

Results
Formation enthalpy at 0 K (eV/atom): 0.707
V (A^3/atom): 29.48
E (eV per atom): -4.04
Symmetry: P4/mmm (123)

***

(5)
## BaTe2F (GGA-PBEsol)

Data for a relaxed structure of BaTe2F.

Cell lengths 9.5986, 9.5986, 9.5986 Å; angles 21.68, 21.68, 21.68 degrees
With the nearest neighbours (Å) after each atom.
Atoms (fractional coordinates):
Ba: 0.0000 0.0000 0.0000  6 Te 3.49, 6 Ba 3.61
Te: 0.2338 0.2338 0.2338  3 F 2.81
Te: 0.7662 0.7662 0.7662  3 F 2.81
F: 0.5000 0.5000 0.5000  6 Te 2.81

Results
V (A^3/atom): 26.45
ΔE_f (raw) (eV/f.u.): -2.09
E (eV per atom): -3.30
Symmetry: R-3m (166)

***

(6)
## BeRh5 (GGA-PBEsol)

Data for a relaxed structure of BeRh5.

Cell lengths 2.6918, 2.6918, 10.2816 Å; angles 90.00, 90.00, 90.00 degrees
With the nearest neighbours (Å) after each atom.
Atoms (fractional coordinates):
Be: 0.0000 0.0000 0.0000  8 Rh 2.35
Rh: 0.0000 0.0000 0.3187  12 Rh 2.66-2.69
Rh: 0.0000 0.0000 0.6813  12 Rh 2.66-2.69
Rh: 0.5000 0.5000 0.1348  4 Be 2.35
Rh: 0.5000 0.5000 0.5000  12 Rh 2.66-2.69
Rh: 0.5000 0.5000 0.8652  4 Be 2.35

Results
Formation enthalpy at 0 K (eV/atom): -0.178
V (A^3/atom): 12.42
E (eV per atom): -7.63
Symmetry: P4/mmm (123)

***

(7)
## Mn4Nb2O9 (GGA-PBEsol)

Data for a relaxed structure of Mn4Nb2O9.

Cell lengths 5.2872, 5.2872, 14.1913 Å; angles 90.00, 90.00, 120.00 degrees
With the nearest neighbours (Å) after each atom.
Atoms (fractional coordinates):
Mn: 0.3333 0.6667 0.0187  6 O 2.09-2.21
Mn: 0.3333 0.6667 0.3040  6 O 2.06-2.30
Mn: 0.3333 0.6667 0.5187  6 O 2.09-2.21
Mn: 0.3333 0.6667 0.8040  6 O 2.06-2.30
Mn: 0.6667 0.3333 0.1960  6 O 2.06-2.30
Mn: 0.6667 0.3333 0.4813  6 O 2.09-2.21
Mn: 0.6667 0.3333 0.6960  6 O 2.06-2.30
Mn: 0.6667 0.3333 0.9813  6 O 2.09-2.21
Nb: 0.0000 0.0000 0.1413  6 O 1.93-2.15
Nb: 0.0000 0.0000 0.3587  6 O 1.93-2.15
Nb: 0.0000 0.0000 0.6413  6 O 1.93-2.15
Nb: 0.0000 0.0000 0.8587  6 O 1.93-2.15
O: 0.0000 0.2830 0.2500  2 Mn 2.06, 2 Nb 2.15
O: 0.0000 0.7170 0.7500  2 Mn 2.06, 2 Nb 2.15
O: 0.0271 0.3440 0.9162  1 Nb 1.93, 1 Mn 2.09
O: 0.0271 0.6831 0.4162  1 Nb 1.93, 1 Mn 2.09
O: 0.2830 0.0000 0.2500  2 Mn 2.06, 2 Nb 2.15
O: 0.2830 0.2830 0.7500  2 Mn 2.06, 2 Nb 2.15
O: 0.3169 0.3440 0.4162  1 Nb 1.93, 1 Mn 2.09
O: 0.3169 0.9729 0.9162  1 Nb 1.93, 1 Mn 2.09
O: 0.3440 0.0271 0.5838  1 Nb 1.93, 1 Mn 2.09
O: 0.3440 0.3169 0.0838  1 Nb 1.93, 1 Mn 2.09
O: 0.6560 0.6831 0.9162  1 Nb 1.93, 1 Mn 2.09
O: 0.6560 0.9729 0.4162  1 Nb 1.93, 1 Mn 2.09
O: 0.6831 0.0271 0.0838  1 Nb 1.93, 1 Mn 2.09
O: 0.6831 0.6560 0.5838  1 Nb 1.93, 1 Mn 2.09
O: 0.7170 0.0000 0.7500  2 Mn 2.06, 2 Nb 2.15
O: 0.7170 0.7170 0.2500  2 Mn 2.06, 2 Nb 2.15
O: 0.9729 0.3169 0.5838  1 Nb 1.93, 1 Mn 2.09
O: 0.9729 0.6560 0.0838  1 Nb 1.93, 1 Mn 2.09

Results
V (A^3/atom): 11.45
ΔE_f (raw) (eV/f.u.): -27.81
E (eV per atom): -9.05
Symmetry: P-3c1 (165)

***

(8)
## AsRh2Se (GGA-PBEsol)

Data for a relaxed structure of AsRh2Se.

Cell lengths 5.1249, 5.1249, 5.1249 Å; angles 147.37, 120.45, 69.58 degrees
With the nearest neighbours (Å) after each atom.
Atoms (fractional coordinates):
As: 0.0000 0.0000 0.0000  4 Rh 2.51
Rh: 0.2443 0.7443 0.5000  2 As 2.51, 2 Se 2.59
Rh: 0.7557 0.2557 0.5000  2 As 2.51, 2 Se 2.59
Se: 0.5000 0.5000 0.0000  4 Rh 2.59, 2 Se 2.88

Results
V (A^3/atom): 15.42
ΔE_f (raw) (eV/f.u.): 0.58
E (eV per atom): -6.16
Symmetry: Immm (71)

***

(9)
## CdIr4 (GGA-PBEsol)

Data for a relaxed structure of CdIr4.

Cell lengths 6.7033, 6.7033, 6.7033 Å; angles 148.30, 148.30, 45.44 degrees
With the nearest neighbours (Å) after each atom.
Atoms (fractional coordinates):
Cd: 0.0000 0.0000 0.0000  8 Ir 2.87
Ir: 0.2500 0.7500 0.5000  8 Ir 2.59-2.60
Ir: 0.3994 0.3994 0.0000  5 Ir 2.49-2.60
Ir: 0.6006 0.6006 0.0000  5 Ir 2.49-2.60
Ir: 0.7500 0.2500 0.5000  8 Ir 2.59-2.60

Results
Formation enthalpy at 0 K (eV/atom): 0.422
V (A^3/atom): 16.58
E (eV per atom): -7.68
Symmetry: I4/mmm (139)

***

(10)
## CoSb2W (GGA-PBEsol)

Data for a relaxed structure of CoSb2W.

Cell lengths 2.9847, 2.9847, 8.6132 Å; angles 90.00, 90.00, 90.00 degrees
With the nearest neighbours (Å) after each atom.
Atoms (fractional coordinates):
Co: 0.0000 0.0000 0.0000  4 W 2.58, 4 Sb 2.69
Sb: 0.0000 0.0000 0.5892  4 W 2.95, 4 Sb 2.98
Sb: 0.5000 0.5000 0.1936  4 Co 2.69, 4 Sb 2.98
W: 0.5000 0.5000 0.8279  4 Co 2.58

Results
V (A^3/atom): 19.18
ΔE_f (raw) (eV/f.u.): 0.91
E (eV per atom): -7.44
Symmetry: P4mm (99)

***

(11)
## RbCaI3 (GGA-PBEsol)

Data for a relaxed structure of RbCaI3.

Cell lengths 6.0675, 6.0675, 6.0675 Å; angles 90.00, 90.00, 90.00 degrees
With the nearest neighbours (Å) after each atom.
Atoms (fractional coordinates):
Rb: 0.0000 0.0000 0.0000  12 I 4.29
Ca: 0.5000 0.5000 0.5000  6 I 3.03
I: 0.0000 0.5000 0.5000  2 Ca 3.03
I: 0.5000 0.0000 0.5000  2 Ca 3.03
I: 0.5000 0.5000 0.0000  2 Ca 3.03

Results
V (A^3/atom): 44.67
ΔE_f (raw) (eV/f.u.): -7.57
E (eV per atom): -3.21
Symmetry: Pm-3m (221)

***

(12)
## LaCrCdMo2 (GGA-PBEsol)

Data for a relaxed structure of LaCrCdMo2.

Cell lengths 4.7077, 4.7077, 5.5782 Å; angles 90.00, 90.00, 90.00 degrees
With the nearest neighbours (Å) after each atom.
Atoms (fractional coordinates):
La: 0.0000 0.0000 0.0000  4 Mo 2.35
Cr: 0.5000 0.5000 0.5000  4 Cd 3.33, 8 Mo 3.65
Cd: 0.0000 0.0000 0.5000  2 La 2.79
Mo: 0.0000 0.5000 0.0000  2 La 2.35
Mo: 0.5000 0.0000 0.0000  2 La 2.35

Results
Formation enthalpy at 0 K (eV/atom): 2.274
V (A^3/atom): 24.73
E (eV per atom): -5.79
Symmetry: P4/mmm (123)